# PBE PmNd3Pb, optimized geometry
data_PmNd3Pb
_chemical_formula_sum 'Pm4 Nd12 Pb4'
_symmetry_space_group_name_H-M 'P 1 21/c 1'
_symmetry_Int_Tables_number 14
_symmetry_space_group_name_Hall '-P 2ybc'
_cell_length_a 9.262
_cell_length_b 8.811
_cell_length_c 9.791
_cell_angle_alpha 90.00
_cell_angle_beta 121.70
_cell_angle_gamma 90.00
loop_
_atom_site_label
_atom_site_type_symbol
_atom_site_fract_x
_atom_site_fract_y
_atom_site_fract_z
Pm1 Pm 0.217 0.064 0.429
Nd1 Nd 0.090 0.697 0.545
Nd2 Nd 0.214 0.064 0.788
Nd3 Nd 0.419 0.079 0.209
Pb1 Pb 0.406 0.749 0.953
# energy of formation from the pure elements: -0.1709 eV/atom

=====

# PBE PmNd12Pb3, optimized geometry
data_PmNd12Pb3
_chemical_formula_sum 'Pm1 Nd12 Pb3'
_symmetry_space_group_name_H-M 'P 4/m m m'
_symmetry_Int_Tables_number 123
_symmetry_space_group_name_Hall '-P 4 2'
_cell_length_a 5.017
_cell_length_b 5.017
_cell_length_c 20.498
_cell_angle_alpha 90.00
_cell_angle_beta 90.00
_cell_angle_gamma 90.00
loop_
_atom_site_label
_atom_site_type_symbol
_atom_site_fract_x
_atom_site_fract_y
_atom_site_fract_z
Pm1 Pm 0.000 0.000 0.000
Nd1 Nd 0.000 0.500 0.132
Nd2 Nd 0.000 0.500 0.378
Nd3 Nd 0.500 0.500 0.000
Nd4 Nd 0.500 0.500 0.257
Nd5 Nd 0.500 0.500 0.500
Pb1 Pb 0.000 0.000 0.256
Pb2 Pb 0.000 0.000 0.500
# energy of formation from the pure elements: -0.2399 eV/atom

=====

# PBE Pm3NdPb3, optimized geometry
data_Pm3NdPb3
_chemical_formula_sum 'Pm18 Nd6 Pb18'
_symmetry_space_group_name_H-M 'R -3'
_symmetry_Int_Tables_number 148
_symmetry_space_group_name_Hall '-R 3'
_cell_length_a 9.4952
_cell_length_b 9.4952
_cell_length_c 19.1719
_cell_angle_alpha 90.00
_cell_angle_beta 90.00
_cell_angle_gamma 120.00
loop_
_atom_site_label
_atom_site_type_symbol
_atom_site_fract_x
_atom_site_fract_y
_atom_site_fract_z
Pm1 Pm 0.0062 0.2749 0.0907
Nd1 Nd 0.0000 0.0000 0.3322
Pb1 Pb 0.0034 0.3787 0.9223
# energy of formation from the pure elements: -0.3919 eV/atom

=====

Across the entries above, Fermi-level density of states takes the values 5.641, 18.170, 6.006 states/eV/f.u., respectively.
Across the entries above, volume takes the values 679.8, 515.9, 1496.9 Å³ per cell, respectively.
Across the entries above, total magnetization takes the values 0.0, 0.0, 0.2 μB per formula unit, respectively.